Here is a geometry-optimized Pm7DyHo3 structure from Alexandria. Energies are from PBE.

Computed properties:
- D(E_F): 1.565 states/eV/atom
- Energy relative to the elements: 0.18 eV per atom
- Crystal system: monoclinic
- Size of the total moment: 0.0 μB per cell
- E: -4.5076 eV per atom
- Symmetry: No. 15

```
22
Lattice="9.5690 -3.5931 0.0000 9.5690 3.5931 0.0000 -5.4907 0.0000 11.2487" Properties=species:S:1:pos:R:3 pbc="T T T"
Pm 1.0257 1.8162 10.9326
Pm 3.7667 1.8038 5.2935
Pm 5.4509 1.9844 8.4365
Pm 5.2691 0.0347 2.5384
Pm 2.5237 -0.0347 8.1628
Pm 9.8762 1.8162 5.9405
Pm 12.6259 1.8038 0.3309
Pm 1.0213 -1.8038 10.9178
Pm 3.7711 -1.8162 5.3082
Pm 11.1235 0.0347 3.0859
Pm 8.3782 -0.0347 8.7103
Pm 8.1963 -1.9844 2.8122
Pm 9.8806 -1.8038 5.9552
Pm 12.6215 -1.8162 0.3161
Dy 0.0000 0.0000 0.0000
Dy -2.7454 0.0000 5.6244
Ho 1.7312 0.0118 3.0935
Ho -1.0142 -0.0118 8.7178
Ho 9.5690 0.0000 0.0000
Ho 6.8236 0.0000 5.6244
Ho 14.6614 0.0118 2.5309
Ho 11.9160 -0.0118 8.1552
```

Here is a geometry-optimized Ba3ThSe7 structure from Alexandria. Energies are from PBE.

Computed properties:
- Crystal system: orthorhombic
- Size of the total moment: 0.0 μB per cell
- E: -5.0576 eV per atom
- Formation energy from raw total energies: -1.641 eV/atom
- Symmetry: No. 44

```
11
Lattice="-2.9410 6.3225 4.8266 2.9410 -6.3225 4.8266 2.9410 6.3225 -4.8266" Properties=species:S:1:pos:R:3 pbc="T T T"
Ba 0.0000 0.0000 0.0000
Ba 2.9410 3.0218 -2.0072
Ba 0.0000 3.3007 2.8194
Th 2.9410 0.0000 3.9374
Se 2.9410 -1.2018 1.1021
Se 2.9410 1.2018 1.1021
Se 2.9410 -2.9362 4.3256
Se 0.0000 0.0000 3.3767
Se 2.9410 2.9362 4.3256
Se 1.2037 6.3225 1.9030
Se 1.7373 0.0000 6.7296
```

Here is a geometry-optimized AlZnTe structure from Alexandria. Energies are from PBE.

Computed properties:
- D(E_F): 0.778 states/eV/atom
- Crystal system: cubic
- Size of the total moment: 0.0 μB per cell
- E: -2.4041 eV per atom
- Excess energy over the best structure of this formula in the dataset: 0.3482 eV/atom
- Formation energy from raw total energies: 0.315 eV/atom
- Symmetry: No. 216

```
12
Lattice="6.9224 0.0000 0.0000 0.0000 6.9224 0.0000 0.0000 0.0000 6.9224" Properties=species:S:1:pos:R:3 pbc="T T T"
Al 0.0000 0.0000 0.0000
Al 0.0000 3.4612 3.4612
Al 3.4612 0.0000 3.4612
Al 3.4612 3.4612 0.0000
Zn 0.0000 0.0000 3.4612
Zn 0.0000 3.4612 0.0000
Zn 3.4612 0.0000 0.0000
Zn 3.4612 3.4612 3.4612
Te 1.7306 1.7306 1.7306
Te 1.7306 5.1918 5.1918
Te 5.1918 1.7306 5.1918
Te 5.1918 5.1918 1.7306
```

Here is a geometry-optimized ScBrO3 structure from Alexandria. Energies are from PBE.

Computed properties:
- D(E_F): 0.973 states/eV/atom
- Crystal system: cubic
- Size of the total moment: 1.1 μB per cell
- E: -5.4407 eV per atom
- Formation energy from raw total energies: -0.865 eV/atom
- Symmetry: No. 221

```
5
Lattice="4.0956 0.0000 0.0000 0.0000 4.0956 0.0000 0.0000 0.0000 4.0956" Properties=species:S:1:pos:R:3 pbc="T T T"
Sc 0.0000 0.0000 0.0000
Br 2.0478 2.0478 2.0478
O 0.0000 0.0000 2.0478
O 0.0000 2.0478 0.0000
O 2.0478 0.0000 0.0000
```

Here is a geometry-optimized Zn2SiW2 structure from Alexandria. Energies are from PBE.

Computed properties:
- D(E_F): 0.531 states/eV/atom
- Crystal system: tetragonal
- Size of the total moment: 0.0 μB per cell
- E: -5.9778 eV per atom
- Excess energy over the best structure of this formula in the dataset: 0.2176 eV/atom
- Formation energy from raw total energies: 0.798 eV/atom
- Symmetry: No. 139

```
10
Lattice="3.6588 0.0000 0.0000 0.0000 3.6588 0.0000 0.0000 0.0000 12.9975" Properties=species:S:1:pos:R:3 pbc="T T T"
Zn 0.0000 0.0000 1.1980
Zn 0.0000 0.0000 11.7995
Zn 1.8294 1.8294 5.3007
Zn 1.8294 1.8294 7.6968
Si 0.0000 0.0000 6.4988
Si 1.8294 1.8294 0.0000
W 0.0000 1.8294 3.2494
W 0.0000 1.8294 9.7481
W 1.8294 0.0000 3.2494
W 1.8294 0.0000 9.7481
```

Here is a geometry-optimized Sm3ThBi4 structure from Alexandria. Energies are from PBE.

Computed properties:
- D(E_F): 0.646 states/eV/atom
- Energy relative to the elements: -0.84 eV per atom
- Crystal system: cubic
- Size of the total moment: 0.0 μB per cell
- E: -5.4778 eV per atom
- Excess energy over the best structure of this formula in the dataset: 0.0116 eV/atom
- Symmetry: No. 221

```
8
Lattice="6.4647 0.0000 0.0000 0.0000 6.4647 0.0000 0.0000 0.0000 6.4647" Properties=species:S:1:pos:R:3 pbc="T T T"
Sm 0.0000 0.0000 3.2323
Sm 0.0000 3.2323 0.0000
Sm 3.2323 0.0000 0.0000
Th 3.2323 3.2323 3.2323
Bi 0.0000 0.0000 0.0000
Bi 0.0000 3.2323 3.2323
Bi 3.2323 0.0000 3.2323
Bi 3.2323 3.2323 0.0000
```

Here is a geometry-optimized DyZrNp2P4 structure from Alexandria. Energies are from PBE.

Computed properties:
- D(E_F): 2.403 states/eV/atom
- Energy relative to the elements: -1.18 eV per atom
- Crystal system: monoclinic
- Size of the total moment: 0.1 μB per cell
- E: -8.7622 eV per atom
- Symmetry: No. 10

```
8
Lattice="6.7566 0.0000 0.0000 0.0000 3.8989 0.0000 -2.2465 0.0000 6.3966" Properties=species:S:1:pos:R:3 pbc="T T T"
Dy 0.0000 0.0000 0.0000
Zr -1.1232 1.9495 3.1983
Np 2.2551 0.0000 3.1983
Np 3.3783 1.9495 0.0000
P -0.0163 0.0000 4.7430
P 1.1012 1.9495 1.6507
P 3.4089 1.9495 4.7459
P 4.5264 0.0000 1.6536
```

Here is a geometry-optimized HfFe2TcRu structure from Alexandria. Energies are from PBE.

Computed properties:
- D(E_F): 1.220 states/eV/atom
- Energy relative to the elements: 1.30 eV per atom
- Crystal system: tetragonal
- Size of the total moment: 3.5 μB per cell
- E: -8.0072 eV per atom
- Symmetry: No. 123

```
5
Lattice="4.3126 0.0000 0.0000 0.0000 4.3126 0.0000 0.0000 0.0000 4.9316" Properties=species:S:1:pos:R:3 pbc="T T T"
Hf 0.0000 0.0000 0.0000
Fe 0.0000 2.1563 2.4658
Fe 2.1563 0.0000 2.4658
Tc 0.0000 0.0000 2.4658
Ru 2.1563 2.1563 0.0000
```